# 1
HfGa2Cu: relaxed, PBE-GGA.

- energy of formation (eV per atom) = -0.07
- SG = No. 225

Structure (POSCAR):
```
HfGa2Cu
1.0
0.000 3.211 3.211
3.211 0.000 3.211
3.211 3.211 0.000
Hf Ga Cu
1 2 1
Direct
0.000 0.000 0.000
0.250 0.250 0.250
0.750 0.750 0.750
0.500 0.500 0.500
```

# 2
Sm4Se5Cl: relaxed, PBE-GGA.

- SG = No. 59
- formation energy from raw total energies (eV per atom) = -1.7114

Structure (POSCAR):
```
Sm4Se5Cl
1.0
8.795 0.000 0.000
0.000 9.871 0.000
0.000 0.000 7.194
Sm Se Cl
8 10 2
Direct
0.031 0.250 0.053
0.250 0.503 0.514
0.250 0.997 0.514
0.469 0.250 0.053
0.531 0.750 0.947
0.750 0.003 0.486
0.750 0.497 0.486
0.969 0.750 0.947
0.008 0.548 0.239
0.008 0.952 0.239
0.250 0.250 0.346
0.492 0.548 0.239
0.492 0.952 0.239
0.508 0.048 0.761
0.508 0.452 0.761
0.750 0.750 0.654
0.992 0.048 0.761
0.992 0.452 0.761
0.250 0.750 0.725
0.750 0.250 0.275
```

# 3
TlIn2GeIr: relaxed, PBE-GGA.

- energy of formation (eV per atom) = 0.01
- SG = No. 123

Structure (POSCAR):
```
TlIn2GeIr
1.0
5.272 0.000 0.000
0.000 5.272 0.000
0.000 0.000 4.734
Tl In Ge Ir
1 2 1 1
Direct
0.000 0.000 0.000
0.000 0.500 0.500
0.500 0.000 0.500
0.500 0.500 0.000
0.500 0.500 0.500
```

Number 1: VASP energy -20.37 eV per cell. Number 2: VASP energy -110.52 eV per cell. Number 3: VASP energy -21.27 eV per cell.